The following is a PBE calculation of a geometry-optimized Ac4InHRh2 structure, from Alexandria via LeMat-Bulk.

a = 4.327 Å, b = 14.698 Å, c = 15.117 Å
α = 90.00°, β = 90.00°, γ = 90.00°
Space group Cmcm (No. 63)
Unique sites:
1 Ac 0.000 0.000 0.000 (multiplicity 4)
2 Ac 0.000 0.266 0.111 (multiplicity 8)
3 Ac 0.000 0.419 0.750 (multiplicity 4)
4 In 0.000 0.109 0.750 (multiplicity 4)
5 H 0.000 0.167 0.250 (multiplicity 4)
6 Rh 0.000 0.370 0.561 (multiplicity 8)

DOS(E_F): 0.603 states/eV per atom
Electronic total energy: -5.2135 eV per atom